Density functional theory data (SCAN) for a PBEsol-optimized structure of CaTlAu.

Cell lengths 4.8258, 4.8258, 3.5173 Å; angles 90.00, 90.00, 120.00 degrees
Space group P-6m2 (No. 187)
Symmetry-distinct sites (fractional):
Ca (0.0000, 0.0000, 0.0000)
Tl (0.3333, 0.6667, 0.5000)
Au (0.6667, 0.3333, 0.5000)

Output
**Formation energy from the elements**: -195 kJ/mol of formula units
**DFT total energy**: -51.067 eV/atom
**Density of states at the Fermi level**: 1.30 states/eV/cell